Record 1
# Li2YSc (PBE-GGA, relaxed)
# Size of the total moment   0.1180 μB per atom
# ΔH_f (0 K)   0.397 eV/atom
# Total DFT energy (no corrections)   -60.14 eV for the cell shown
# Offset from the most stable computed form   0.3116 eV per atom
data_Li2YSc
_chemical_formula_sum 'Li8 Y4 Sc4'
_space_group_name_H-M_alt 'I -4 2 d'
_space_group_IT_number 122
_space_group_name_Hall 'I -4 2bw'
_cell_length_a 7.943
_cell_length_b 7.943
_cell_length_c 6.080
_cell_angle_alpha 90.00
_cell_angle_beta 90.00
_cell_angle_gamma 90.00
loop_
_atom_site_label
_atom_site_type_symbol
_atom_site_fract_x
_atom_site_fract_y
_atom_site_fract_z
Li1 Li 0.238 0.750 0.125
Y1 Y 0.000 0.000 0.500
Sc1 Sc 0.000 0.000 0.000



Record 2
# TaIrPt2 (PBE-GGA, relaxed)
# Size of the total moment   0.2239 μB per atom
# ΔH_f (0 K)   -0.186 eV/atom
# Total DFT energy (no corrections)   -100.62 eV for the cell shown
# Offset from the most stable computed form   0.4469 eV per atom
data_TaIrPt2
_chemical_formula_sum 'Ta3 Ir3 Pt6'
_space_group_name_H-M_alt 'R -3 m'
_space_group_IT_number 166
_space_group_name_Hall '-R 3 2"'
_cell_length_a 2.8149
_cell_length_b 2.8149
_cell_length_c 27.7760
_cell_angle_alpha 90.00
_cell_angle_beta 90.00
_cell_angle_gamma 120.00
loop_
_atom_site_label
_atom_site_type_symbol
_atom_site_fract_x
_atom_site_fract_y
_atom_site_fract_z
Ta1 Ta 0.0000 0.0000 0.0000
Ir1 Ir 0.0000 0.0000 0.5000
Pt1 Pt 0.0000 0.0000 0.2510



Record 3
# AlZnTe2 (PBE-GGA, relaxed)
# Size of the total moment   0.0000 μB per atom
# Total DFT energy (no corrections)   -34.43 eV for the cell shown
# Offset from the most stable computed form   0.2117 eV per atom
# Raw formation energy   -0.04 eV/atom
data_AlZnTe2
_chemical_formula_sum 'Al3 Zn3 Te6'
_space_group_name_H-M_alt 'R -3 m'
_space_group_IT_number 166
_space_group_name_Hall '-R 3 2"'
_cell_length_a 4.1597
_cell_length_b 4.1597
_cell_length_c 24.6419
_cell_angle_alpha 90.00
_cell_angle_beta 90.00
_cell_angle_gamma 120.00
loop_
_atom_site_label
_atom_site_type_symbol
_atom_site_fract_x
_atom_site_fract_y
_atom_site_fract_z
Al1 Al 0.0000 0.0000 0.0000
Zn1 Zn 0.0000 0.0000 0.5000
Te1 Te 0.0000 0.0000 0.3954



Record 4
# TlCo3Ir (PBE-GGA, relaxed)
# Size of the total moment   1.3010 μB per atom
# ΔH_f (0 K)   1.155 eV/atom
# Total DFT energy (no corrections)   -26.77 eV for the cell shown
# Offset from the most stable computed form   0.0000 eV per atom
data_TlCo3Ir
_chemical_formula_sum 'Tl1 Co3 Ir1'
_space_group_name_H-M_alt 'P m -3 m'
_space_group_IT_number 221
_space_group_name_Hall '-P 4 2 3'
_cell_length_a 4.628
_cell_length_b 4.628
_cell_length_c 4.628
_cell_angle_alpha 90.00
_cell_angle_beta 90.00
_cell_angle_gamma 90.00
loop_
_atom_site_label
_atom_site_type_symbol
_atom_site_fract_x
_atom_site_fract_y
_atom_site_fract_z
Tl1 Tl 0.000 0.000 0.000
Co1 Co 0.000 0.500 0.500
Ir1 Ir 0.500 0.500 0.500



Record 5
# Tm2Ge2Rh5Pb (PBE-GGA, relaxed)
# Size of the total moment   0.0000 μB per atom
# ΔH_f (0 K)   -0.746 eV/atom
# Total DFT energy (no corrections)   -132.20 eV for the cell shown
data_Tm2Ge2Rh5Pb
_chemical_formula_sum 'Tm4 Ge4 Rh10 Pb2'
_space_group_name_H-M_alt 'P 4/m b m'
_space_group_IT_number 127
_space_group_name_Hall '-P 4 2ab'
_cell_length_a 9.764
_cell_length_b 9.764
_cell_length_c 3.686
_cell_angle_alpha 90.00
_cell_angle_beta 90.00
_cell_angle_gamma 90.00
loop_
_atom_site_label
_atom_site_type_symbol
_atom_site_fract_x
_atom_site_fract_y
_atom_site_fract_z
Tm1 Tm 0.175 0.325 0.000
Ge1 Ge 0.122 0.622 0.000
Rh1 Rh 0.000 0.500 0.500
Rh2 Rh 0.071 0.786 0.500
Pb1 Pb 0.000 0.000 0.000



Record 6
# KMgSe (PBE-GGA, relaxed)
# Size of the total moment   0.0000 μB per atom
# Total DFT energy (no corrections)   -33.87 eV for the cell shown
# Offset from the most stable computed form   0.1877 eV per atom
# Raw formation energy   -0.76 eV/atom
data_KMgSe
_chemical_formula_sum 'K4 Mg4 Se4'
_space_group_name_H-M_alt 'C 1 m 1'
_space_group_IT_number 8
_cell_length_a 14.197
_cell_length_b 4.376
_cell_length_c 6.897
_cell_angle_alpha 90.00
_cell_angle_beta 105.62
_cell_angle_gamma 90.00
loop_
_space_group_symop_operation_xyz
'x,y,z'
'x,-y,z'
'x+1/2,y+1/2,z'
'x+1/2,-y+1/2,z'
loop_
_atom_site_label
_atom_site_type_symbol
_atom_site_fract_x
_atom_site_fract_y
_atom_site_fract_z
K1 K 0.000 0.000 0.000
K2 K 0.237 0.500 0.914
Mg1 Mg 0.025 0.500 0.492
Mg2 Mg 0.326 0.000 0.522
Se1 Se 0.139 0.000 0.524
Se2 Se 0.375 0.000 0.181